The following is a DFT calculation (GGA-PBE) of crystalline NaPmSeS at its relaxed geometry.

a = 4.1745 Å, b = 4.1745 Å, c = 7.2689 Å
α = 73.31°, β = 73.31°, γ = 60.00°
Closest atoms and distances in Å follow each position.
Positions (direct):
Na: 0.7518 0.7518 0.7446  3 S 3.02, 3 Se 3.04
Pm: 0.2461 0.2461 0.2618  3 S 2.84, 3 Se 2.95
Se: 0.9954 0.9954 0.0136  3 Pm 2.95, 3 Na 3.04
S: 0.5067 0.5067 0.4800  3 Pm 2.84, 3 Na 3.02

energy = -5.167 eV/atom
energy relative to the elements, uncorrected = -674 kJ/mol of formula units
crystal system = trigonal

=====

The following is a DFT calculation (GGA-PBE) of crystalline SrH8IrPd2 at its relaxed geometry.

a = 4.5156 Å, b = 4.5144 Å, c = 6.3233 Å
α = 70.99°, β = 71.11°, γ = 74.72°
Closest atoms and distances in Å follow each position.
Positions (direct):
Sr: 0.0000 0.0000 0.5000  8 H 2.58-2.71
H: 0.1436 0.6736 0.2012  1 Ir 1.74, 1 Pd 1.89
H: 0.7767 0.7774 0.9640  1 Ir 1.71, 1 Pd 1.82
H: 0.6750 0.1450 0.2004  1 Ir 1.74, 1 Pd 1.89
H: 0.8564 0.3264 0.7988  1 Ir 1.74, 1 Pd 1.89
H: 0.2233 0.2226 0.0360  1 Ir 1.71, 1 Pd 1.82
H: 0.3250 0.8550 0.7996  1 Ir 1.74, 1 Pd 1.89
H: 0.6359 0.6347 0.4913  2 Pd 1.69-1.86
H: 0.3641 0.3653 0.5087  2 Pd 1.69-1.86
Ir: 0.0000 0.0000 0.0000  6 H 1.71-1.74
Pd: 0.4407 0.4394 0.7566  3 H 1.69-1.86
Pd: 0.5593 0.5606 0.2434  3 H 1.69-1.86

energy = -4.150 eV/atom
crystal system = triclinic

=====

The following is a DFT calculation (GGA-PBE) of crystalline Cu3Ag6F14 at its relaxed geometry.

a = 5.6193 Å, b = 8.5603 Å, c = 8.5603 Å
α = 120.00°, β = 90.00°, γ = 90.00°
Closest atoms and distances in Å follow each position.
Positions (direct):
Cu: 0.8341 0.0000 0.0000  4 F 1.92-1.95
Cu: 0.3396 0.3333 0.6667  4 F 1.88-1.96
Cu: 0.3851 0.6667 0.3333  6 F 2.01-2.02
Ag: 0.3122 0.7448 0.9980  5 F 2.28-2.46
Ag: 0.3122 0.0020 0.7468  5 F 2.28-2.46
Ag: 0.3122 0.2532 0.2552  5 F 2.28-2.46
Ag: 0.8287 0.5596 0.5619  3 F 2.20-2.39
Ag: 0.8287 0.4381 0.9976  3 F 2.20-2.39
Ag: 0.8287 0.0024 0.4404  3 F 2.20-2.39
F: 0.0036 0.0659 0.2237  1 Cu 1.95
F: 0.0036 0.7763 0.8422  1 Cu 1.95
F: 0.0036 0.1578 0.9341  1 Cu 1.95
F: 0.5177 0.1636 0.4519  1 Cu 1.96
F: 0.5177 0.5481 0.7117  1 Cu 1.96
F: 0.5177 0.2883 0.8364  1 Cu 1.96
F: 0.4919 0.0000 0.0000  1 Cu 1.92
F: 0.0043 0.3333 0.6667  1 Cu 1.88
F: 0.5985 0.7304 0.1840  1 Cu 2.02
F: 0.5985 0.8160 0.5464  1 Cu 2.02
F: 0.5985 0.4536 0.2696  1 Cu 2.02
F: 0.1686 0.5466 0.4285  1 Cu 2.01, 1 Ag 2.20
F: 0.1686 0.5715 0.1181  1 Cu 2.01, 1 Ag 2.20
F: 0.1686 0.8819 0.4534  1 Cu 2.01, 1 Ag 2.20

energy = -3.596 eV/atom
energy relative to the elements, uncorrected = -2615 kJ/mol of formula units
crystal system = trigonal

=====

Look up the energy of the third one.
-3.596 eV/atom

=====

Look up the energy of the third one.
-3.596 eV/atom

=====

energy of number 1 (NaPmSeS)?
-5.167 eV/atom